Material: Pm2FeCo
Method: DFT, PBE
State: relaxed

Calculated values
SG: R3m, No. 160

a b c (Å): 7.532 7.532 7.532
angles (deg): 30.22 30.22 30.22
Fractional positions:
1 Pm 0.000 0.000 0.000
2 Pm 0.180 0.180 0.180
3 Fe 0.421 0.421 0.421
4 Co 0.760 0.760 0.760

***

Material: PmFe3Co2
Method: DFT, PBE
State: relaxed

Calculated values
SG: Cmcm, No. 63

a b c (Å): 6.111 6.111 4.965
angles (deg): 90.00 90.00 78.66
Fractional positions:
1 Pm 0.176 0.824 0.750
2 Pm 0.824 0.176 0.250
3 Fe 0.044 0.583 0.250
4 Fe 0.417 0.956 0.250
5 Fe 0.436 0.564 0.250
6 Fe 0.564 0.436 0.750
7 Fe 0.583 0.044 0.750
8 Fe 0.956 0.417 0.750
9 Co 0.284 0.284 0.000
10 Co 0.284 0.284 0.500
11 Co 0.716 0.716 0.000
12 Co 0.716 0.716 0.500

***

Material: Pm2Fe2Co15
Method: DFT, PBE
State: relaxed

Calculated values
SG: R-3m, No. 166

a b c (Å): 6.311 6.311 6.311
angles (deg): 83.20 83.20 83.20
Fractional positions:
1 Pm 0.154 0.154 0.154
2 Pm 0.846 0.846 0.846
3 Fe 0.402 0.402 0.402
4 Fe 0.598 0.598 0.598
5 Co 0.000 0.500 0.500
6 Co 0.156 0.156 0.650
7 Co 0.156 0.650 0.156
8 Co 0.214 0.500 0.786
9 Co 0.214 0.786 0.500
10 Co 0.350 0.844 0.844
11 Co 0.500 0.000 0.500
12 Co 0.500 0.214 0.786
13 Co 0.500 0.500 0.000
14 Co 0.500 0.786 0.214
15 Co 0.650 0.156 0.156
16 Co 0.786 0.214 0.500
17 Co 0.786 0.500 0.214
18 Co 0.844 0.350 0.844
19 Co 0.844 0.844 0.350

***

Material: PmFe4Co
Method: DFT, PBE
State: relaxed

Calculated values
SG: F-43m, No. 216

a b c (Å): 4.998 4.998 4.998
angles (deg): 60.00 60.00 60.00
Fractional positions:
1 Pm 0.000 0.000 0.000
2 Fe 0.127 0.624 0.624
3 Fe 0.624 0.127 0.624
4 Fe 0.624 0.624 0.127
5 Fe 0.624 0.624 0.624
6 Co 0.250 0.250 0.250

***

Material: PmFeCo2
Method: DFT, PBE
State: relaxed

Calculated values
SG: R-3m, No. 166

a b c (Å): 5.420 5.420 5.420
angles (deg): 43.65 43.65 43.65
Fractional positions:
1 Pm 0.000 0.000 0.000
2 Fe 0.500 0.500 0.500
3 Co 0.194 0.194 0.194
4 Co 0.806 0.806 0.806

***

Material: Pm3FeCo8
Method: DFT, PBE
State: relaxed

Calculated values
SG: R3m, No. 160

a b c (Å): 8.746 8.746 8.746
angles (deg): 33.46 33.46 33.46
Fractional positions:
1 Pm 0.000 0.000 0.000
2 Pm 0.128 0.128 0.128
3 Pm 0.510 0.510 0.510
4 Fe 0.633 0.633 0.633
5 Co 0.056 0.566 0.566
6 Co 0.068 0.068 0.573
7 Co 0.068 0.573 0.068
8 Co 0.315 0.315 0.315
9 Co 0.566 0.056 0.566
10 Co 0.566 0.566 0.056
11 Co 0.573 0.068 0.068
12 Co 0.815 0.815 0.815

***

Material: Pm3Fe7Co2
Method: DFT, PBE
State: relaxed

Calculated values
SG: R-3m, No. 166

a b c (Å): 8.772 8.772 8.772
angles (deg): 34.15 34.15 34.15
Fractional positions:
1 Pm 0.000 0.000 0.000
2 Pm 0.142 0.142 0.142
3 Pm 0.858 0.858 0.858
4 Fe 0.084 0.578 0.578
5 Fe 0.422 0.422 0.916
6 Fe 0.422 0.916 0.422
7 Fe 0.500 0.500 0.500
8 Fe 0.578 0.084 0.578
9 Fe 0.578 0.578 0.084
10 Fe 0.916 0.422 0.422
11 Co 0.332 0.332 0.332
12 Co 0.668 0.668 0.668

***

Material: Pm2FeCo3
Method: DFT, PBE
State: relaxed

Calculated values
SG: Fmmm, No. 69

a b c (Å): 7.940 7.777 5.731
angles (deg): 70.14 67.10 42.75
Fractional positions:
1 Pm 0.250 0.250 0.250
2 Pm 0.250 0.750 0.250
3 Pm 0.750 0.250 0.750
4 Pm 0.750 0.750 0.750
5 Fe 0.166 0.166 0.834
6 Fe 0.834 0.834 0.166
7 Co 0.167 0.667 0.833
8 Co 0.333 0.333 0.667
9 Co 0.333 0.833 0.667
10 Co 0.667 0.167 0.333
11 Co 0.667 0.667 0.333
12 Co 0.833 0.333 0.167

***

Material: Pm2FeCo2
Method: DFT, PBE
State: relaxed

Calculated values
SG: C2/c, No. 15

a b c (Å): 5.427 5.427 7.471
angles (deg): 100.80 100.80 61.26
Fractional positions:
1 Pm 0.027 0.274 0.151
2 Pm 0.274 0.027 0.651
3 Pm 0.726 0.973 0.349
4 Pm 0.973 0.726 0.849
5 Fe 0.390 0.610 0.250
6 Fe 0.610 0.390 0.750
7 Co 0.244 0.501 0.498
8 Co 0.499 0.756 0.002
9 Co 0.501 0.244 0.998
10 Co 0.756 0.499 0.502

***

Material: Pm2FeCo
Method: DFT, PBE
State: relaxed

Calculated values
SG: P4/mmm, No. 123

a b c (Å): 4.904 4.904 3.459
angles (deg): 90.00 90.00 90.00
Fractional positions:
1 Pm 0.000 0.500 0.000
2 Pm 0.500 0.000 0.000
3 Fe 0.000 0.000 0.500
4 Co 0.500 0.500 0.500

***

Material: PmFeCoSb
Method: DFT, PBE
State: relaxed

Calculated values
SG: F-43m, No. 216
E_form (uncorrected): -0.048 eV per atom

a b c (Å): 4.655 4.655 4.655
angles (deg): 60.00 60.00 60.00
Fractional positions:
1 Pm 0.000 0.000 0.000
2 Fe 0.250 0.250 0.250
3 Co 0.750 0.750 0.750
4 Sb 0.500 0.500 0.500

***

Material: PmFeCoSi3
Method: DFT, PBE
State: relaxed

Calculated values
SG: Cmcm, No. 63
E_form (uncorrected): -0.392 eV per atom

a b c (Å): 6.435 6.435 5.845
angles (deg): 90.00 90.00 124.37
Fractional positions:
1 Pm 0.239 0.761 0.750
2 Pm 0.761 0.239 0.250
3 Fe 0.029 0.971 0.250
4 Fe 0.971 0.029 0.750
5 Co 0.398 0.602 0.250
6 Co 0.602 0.398 0.750
7 Si 0.214 0.786 0.250
8 Si 0.289 0.289 0.000
9 Si 0.289 0.289 0.500
10 Si 0.711 0.711 0.000
11 Si 0.711 0.711 0.500
12 Si 0.786 0.214 0.750

***

Material: Pm2ZnFe2Co5
Method: DFT, PBE
State: relaxed

Calculated values
SG: P4/mbm, No. 127

a b c (Å): 8.970 8.970 3.760
angles (deg): 90.00 90.00 90.00
Fractional positions:
1 Pm 0.188 0.312 0.000
2 Pm 0.312 0.812 0.000
3 Pm 0.688 0.188 0.000
4 Pm 0.812 0.688 0.000
5 Zn 0.000 0.000 0.000
6 Zn 0.500 0.500 0.000
7 Fe 0.110 0.610 0.000
8 Fe 0.390 0.110 0.000
9 Fe 0.610 0.890 0.000
10 Fe 0.890 0.390 0.000
11 Co 0.000 0.500 0.500
12 Co 0.054 0.792 0.500
13 Co 0.208 0.054 0.500
14 Co 0.292 0.554 0.500
15 Co 0.446 0.292 0.500
16 Co 0.500 0.000 0.500
17 Co 0.554 0.708 0.500
18 Co 0.708 0.446 0.500
19 Co 0.792 0.946 0.500
20 Co 0.946 0.208 0.500

***

Material: PrFeCo4
Method: DFT, PBE
State: relaxed

Calculated values
SG: F-43m, No. 216
ΔE to the lowest computed polymorph: 13.6 kJ per mole of atoms

a b c (Å): 4.964 4.964 4.964
angles (deg): 60.00 60.00 60.00
Fractional positions:
1 Pr 0.000 0.000 0.000
2 Fe 0.750 0.750 0.750
3 Co 0.377 0.377 0.377
4 Co 0.377 0.377 0.870
5 Co 0.377 0.870 0.377
6 Co 0.870 0.377 0.377

***

Material: Pr3Fe2Co7
Method: DFT, PBE
State: relaxed

Calculated values
SG: R-3m, No. 166

a b c (Å): 8.556 8.556 8.556
angles (deg): 35.36 35.36 35.36
Fractional positions:
1 Pr 0.000 0.000 0.000
2 Pr 0.141 0.141 0.141
3 Pr 0.859 0.859 0.859
4 Fe 0.333 0.333 0.333
5 Fe 0.667 0.667 0.667
6 Co 0.084 0.578 0.578
7 Co 0.422 0.422 0.916
8 Co 0.422 0.916 0.422
9 Co 0.500 0.500 0.500
10 Co 0.578 0.084 0.578
11 Co 0.578 0.578 0.084
12 Co 0.916 0.422 0.422

***

Material: PrFeCo4
Method: DFT, PBE
State: relaxed

Calculated values
SG: P-6m2, No. 187
ΔE to the lowest computed polymorph: 0.0 kJ per mole of atoms

a b c (Å): 5.083 5.083 3.914
angles (deg): 90.00 90.00 120.00
Fractional positions:
1 Pr 0.000 0.000 0.000
2 Fe 0.333 0.667 0.000
3 Co 0.501 0.003 0.500
4 Co 0.501 0.499 0.500
5 Co 0.667 0.333 0.000
6 Co 0.997 0.499 0.500

***

Material: Pr2Fe5Co12
Method: DFT, PBE
State: relaxed

Calculated values
SG: R-3m, No. 166

a b c (Å): 6.373 6.373 6.373
angles (deg): 82.96 82.96 82.96
Fractional positions:
1 Pr 0.156 0.156 0.156
2 Pr 0.844 0.844 0.844
3 Fe 0.000 0.500 0.500
4 Fe 0.405 0.405 0.405
5 Fe 0.500 0.000 0.500
6 Fe 0.500 0.500 0.000
7 Fe 0.595 0.595 0.595
8 Co 0.158 0.158 0.655
9 Co 0.158 0.655 0.158
10 Co 0.215 0.500 0.785
11 Co 0.215 0.785 0.500
12 Co 0.345 0.842 0.842
13 Co 0.500 0.215 0.785
14 Co 0.500 0.785 0.215
15 Co 0.655 0.158 0.158
16 Co 0.785 0.215 0.500
17 Co 0.785 0.500 0.215
18 Co 0.842 0.345 0.842
19 Co 0.842 0.842 0.345

***

Material: PrFeCoSi2
Method: DFT, PBE
State: relaxed

Calculated values
SG: I-4m2, No. 119
E_form (uncorrected): -0.686 eV per atom

a b c (Å): 5.704 5.704 5.704
angles (deg): 139.00 139.00 59.37
Fractional positions:
1 Pr 0.000 0.000 0.000
2 Fe 0.750 0.250 0.500
3 Co 0.250 0.750 0.500
4 Si 0.363 0.363 0.000
5 Si 0.637 0.637 0.000

***

Material: FeCo2Pt
Method: DFT, PBE
State: relaxed

Calculated values
SG: C2/m, No. 12

a b c (Å): 4.478 4.478 4.507
angles (deg): 100.47 100.47 34.50
Fractional positions:
1 Fe 0.000 0.000 0.000
2 Co 0.252 0.252 0.763
3 Co 0.748 0.748 0.237
4 Pt 0.500 0.500 0.500

***

Material: FeCo3Pt2
Method: DFT, PBE
State: relaxed

Calculated values
SG: I4_1/amd, No. 141

a b c (Å): 7.846 7.846 7.846
angles (deg): 119.18 119.18 91.43
Fractional positions:
1 Fe 0.076 0.326 0.750
2 Fe 0.326 0.076 0.250
3 Fe 0.674 0.924 0.750
4 Fe 0.924 0.674 0.250
5 Co 0.000 0.500 0.500
6 Co 0.089 0.339 0.177
7 Co 0.089 0.911 0.750
8 Co 0.339 0.089 0.677
9 Co 0.339 0.661 0.250
10 Co 0.500 0.000 0.000
11 Co 0.500 0.500 0.000
12 Co 0.500 0.500 0.500
13 Co 0.661 0.339 0.750
14 Co 0.661 0.911 0.323
15 Co 0.911 0.089 0.250
16 Co 0.911 0.661 0.823
17 Pt 0.277 0.339 0.562
18 Pt 0.277 0.715 0.938
19 Pt 0.285 0.723 0.562
20 Pt 0.339 0.277 0.062
21 Pt 0.661 0.723 0.938
22 Pt 0.715 0.277 0.438
23 Pt 0.723 0.285 0.062
24 Pt 0.723 0.661 0.438

***

Material: FeCoPt6
Method: DFT, PBE
State: relaxed

Calculated values
SG: P4/mmm, No. 123

a b c (Å): 3.903 3.903 7.806
angles (deg): 90.00 90.00 90.00
Fractional positions:
1 Fe 0.000 0.000 0.000
2 Co 0.000 0.000 0.500
3 Pt 0.000 0.500 0.250
4 Pt 0.000 0.500 0.750
5 Pt 0.500 0.000 0.250
6 Pt 0.500 0.000 0.750
7 Pt 0.500 0.500 0.000
8 Pt 0.500 0.500 0.500

***

Material: FeCo3Pt
Method: DFT, PBE
State: relaxed

Calculated values
SG: P2_1/m, No. 11
ΔE to the lowest computed polymorph: 0.0 kJ per mole of atoms

a b c (Å): 5.755 3.657 5.811
angles (deg): 90.00 90.93 90.00
Fractional positions:
1 Fe 0.173 0.250 0.048
2 Fe 0.827 0.750 0.952
3 Co 0.269 0.750 0.752
4 Co 0.364 0.250 0.457
5 Co 0.456 0.750 0.150
6 Co 0.544 0.250 0.850
7 Co 0.636 0.750 0.543
8 Co 0.731 0.250 0.248
9 Pt 0.053 0.750 0.337
10 Pt 0.947 0.250 0.663

***

In the order shown, the computed E_tot values come out to -25.30, -88.32, -134.47, -44.83, -27.56, -79.56, -87.66, -79.36, -64.78, -24.38, -24.64, -77.88, -124.36, -41.00, -81.30, -41.84, -137.94, -34.62, -28.93, -163.20, -52.87, -72.16 eV/cell.
In the order shown, the computed total magnetic moment values come out to 0.50, 1.59, 1.41, 1.90, 1.04, 1.00, 1.43, 0.62, 0.65, 0.50, 0.79, 0.08, 1.02, 1.45, 1.03, 1.34, 1.55, 0.00, 1.63, 1.55, 0.96, 1.64 μB per atom.